Record 1
The following is a DFT calculation (PBE-GGA) of an optimized crystal structure of Tm2MgTl.

Lattice parameters (Å, degrees): 3.5492 3.5492 10.5569 80.41 80.41 59.96
Last column: nearest neighbours and their distance in Å.
Element x y z (fractional)
1 Tm 0.0793 0.0793 0.7600  3 Tl 3.22, 3 Mg 3.38-3.39, 6 Tm 3.55
2 Tm 0.2539 0.2539 0.2404  3 Tl 3.23, 3 Mg 3.37-3.38, 6 Tm 3.55
3 Tl 0.6669 0.6669 0.9997  6 Tm 3.22-3.23, 6 Tl 3.55
4 Mg 0.4999 0.4999 0.4999  6 Tm 3.37-3.39, 6 Mg 3.55

## Properties
- energy relative to the elements (meV/atom) = -47.1
- distance to the lowest polymorph of the same formula (meV/atom) = 159
- E (eV per cell) = -13.09
- ρ (Mg/m³) = 8.33

=====

Record 2
The following is a DFT calculation (PBE-GGA) of an optimized crystal structure of CeNdY2N4.

Lattice parameters (Å, degrees): 3.5451 6.1320 6.1269 109.31 90.00 90.00
Last column: nearest neighbours and their distance in Å.
Element x y z (fractional)
1 N 0.0000 0.7604 0.2551  3 Y 2.47-2.53, 1 Ce 2.47, 2 Nd 2.55
2 N 0.5000 0.7552 0.7470  3 Y 2.46-2.51, 2 Ce 2.50, 1 Nd 2.54
3 N 0.0000 0.2396 0.7449  3 Y 2.47-2.53, 1 Ce 2.47, 2 Nd 2.55
4 N 0.5000 0.2448 0.2530  3 Y 2.46-2.51, 2 Ce 2.50, 1 Nd 2.54
5 Ce 0.0000 0.0000 0.0000  6 N 2.47-2.50
6 Nd 0.5000 0.5000 0.0000  6 N 2.54-2.55
7 Y 0.0000 0.5000 0.5000  6 N 2.51-2.53
8 Y 0.5000 0.0000 0.5000  6 N 2.46-2.47

## Properties
- E (eV per cell) = -69.38
- ρ (Mg/m³) = 6.85
- E_form (uncorrected) (eV per formula unit) = -12.446

=====

Record 3
The following is a DFT calculation (PBE-GGA) of an optimized crystal structure of Tl2AsW.

Lattice parameters (Å, degrees): 10.3253 10.3253 10.3253 18.03 18.03 18.03
Last column: nearest neighbours and their distance in Å.
Element x y z (fractional)
1 As 0.7687 0.7687 0.7687  3 W 2.54
2 Tl 0.2373 0.2373 0.2373  3 W 3.04, 6 Tl 3.24
3 Tl 0.0021 0.0021 0.0021  9 Tl 3.24-3.52, 3 As 3.57
4 W 0.4920 0.4920 0.4920  3 As 2.54

## Properties
- energy relative to the elements (meV/atom) = 345.5
- distance to the lowest polymorph of the same formula (meV/atom) = 8
- E (eV per cell) = -20.95
- ρ (Mg/m³) = 12.03

=====

Record 4
The following is a DFT calculation (PBE-GGA) of an optimized crystal structure of Ba2CdH6Pd.

Lattice parameters (Å, degrees): 5.8441 5.8441 5.8380 59.80 59.80 89.72
Last column: nearest neighbours and their distance in Å.
Element x y z (fractional)
1 H 0.2763 0.7237 0.0000  1 Pd 1.84
2 H 0.7251 0.7251 0.9990  1 Pd 1.86
3 H 0.7238 0.7238 0.5529  1 Pd 1.84
4 H 0.2762 0.2762 0.4471  1 Pd 1.84
5 H 0.2749 0.2749 0.0010  1 Pd 1.86
6 H 0.7237 0.2763 0.0000  1 Pd 1.84
7 Pd 0.5000 0.5000 0.0000  6 H 1.84-1.86
8 Ba 0.2499 0.7501 0.5000  12 H 2.92-2.93
9 Ba 0.7501 0.2499 0.5000  12 H 2.92-2.93
10 Cd 0.0000 0.0000 0.0000  6 H 2.27-2.28

## Properties
- E (eV per cell) = -33.63
- ρ (Mg/m³) = 5.90

=====

The highest E belongs to which entry? Tm2MgTl